# 1
First-principles (PBE) data for crystalline Cr2PBr at its relaxed geometry, as listed in Alexandria via LeMat-Bulk.

Output
M_tot (μB per atom): 1.525
Space group: R-3m
Energy relative to the elements, uncorrected (kJ/mol of atoms): -13

Cell: 6.560 6.560 6.560 Å, 31.96 31.96 31.96°
Site moments in Bohr magnetons follow the coordinates.
Element x y z (fractional)
Br1 0.750 0.750 0.750  0.00
Cr1 0.975 0.975 0.975  2.95
P1 0.250 0.250 0.250  -0.19
Cr2 0.525 0.525 0.525  2.95

---

# 2
First-principles (PBE) data for crystalline Cr2PBr at its relaxed geometry, as listed in Alexandria via LeMat-Bulk.

Output
M_tot (μB per atom): 1.999
Space group: Amm2
Energy relative to the elements, uncorrected (kJ/mol of atoms): 14

Cell: 4.961 4.105 4.104 Å, 75.54 90.00 90.00°
Site moments in Bohr magnetons follow the coordinates.
Element x y z (fractional)
Br1 0.500 0.788 0.787  0.02
Cr1 0.500 0.381 0.381  3.69
Cr2 0.000 0.976 0.976  3.65
P1 0.000 0.355 0.355  -0.20

---

# 3
First-principles (PBE) data for crystalline Cr2PBr at its relaxed geometry, as listed in Alexandria via LeMat-Bulk.

Output
M_tot (μB per atom): 1.963
Space group: P4/mmm
Energy relative to the elements, uncorrected (kJ/mol of atoms): 39

Cell: 3.208 4.644 4.644 Å, 90.00 90.00 90.00°
Site moments in Bohr magnetons follow the coordinates.
Element x y z (fractional)
P1 0.500 0.500 0.000  -0.22
Br1 0.500 0.000 0.500  -0.03
Cr1 0.000 0.000 0.000  3.70
Cr2 0.000 0.500 0.500  3.70

---

# 4
First-principles (PBE) data for crystalline Cr2PBr at its relaxed geometry, as listed in Alexandria via LeMat-Bulk.

Output
M_tot (μB per atom): 1.957
Space group: P4/mmm
Energy relative to the elements, uncorrected (kJ/mol of atoms): 13

Cell: 3.744 6.436 5.240 Å, 35.54 90.00 90.00°
Site moments in Bohr magnetons follow the coordinates.
Element x y z (fractional)
Cr1 0.500 0.500 0.000  3.78
Cr2 0.000 0.000 0.000  3.51
P1 0.500 0.500 0.500  -0.16
Br1 0.000 0.000 0.500  0.03

---

# 5
First-principles (PBE) data for crystalline CrP2Br at its relaxed geometry, as listed in Alexandria via LeMat-Bulk.

Output
M_tot (μB per atom): 0.442
Space group: P4mm
Energy relative to the elements, uncorrected (kJ/mol of atoms): 14

Cell: 3.098 3.098 7.723 Å, 90.00 90.00 90.00°
Site moments in Bohr magnetons follow the coordinates.
Element x y z (fractional)
Cr1 0.500 0.500 0.815  1.80
P1 0.000 0.000 0.976  -0.06
P2 0.500 0.500 0.123  -0.04
Br1 0.000 0.000 0.586  0.04

---

# 6
First-principles (PBE) data for crystalline Rb2CrPBr6 at its relaxed geometry, as listed in Alexandria via LeMat-Bulk.

Output
M_tot (μB per atom): 0.500
Space group: I4/mmm
Energy relative to the elements, uncorrected (kJ/mol of atoms): -82

Cell: 7.465 7.465 7.812 Å, 61.46 61.46 90.00°
Site moments in Bohr magnetons follow the coordinates.
Element x y z (fractional)
Br1 0.254 0.746 0.000  0.00
Br2 0.219 0.219 0.561  0.01
Rb1 0.750 0.250 0.500  0.00
Cr1 0.000 0.000 0.000  3.58
P1 0.500 0.500 0.000  0.47
Br3 0.746 0.746 0.000  0.01
Br4 0.781 0.781 0.439  0.01
Br5 0.254 0.254 0.000  0.01
Rb2 0.250 0.750 0.500  0.00
Br6 0.746 0.254 0.000  0.00

---

# 7
First-principles (PBE) data for crystalline CrPS2Br at its relaxed geometry, as listed in Alexandria via LeMat-Bulk.

Output
M_tot (μB per atom): 0.000
Space group: P4/mmm
Energy relative to the elements, uncorrected (kJ/mol of atoms): 27

Cell: 4.344 4.344 4.939 Å, 90.00 90.00 90.00°
Element x y z (fractional)
S1 0.000 0.500 0.000
S2 0.500 0.000 0.000
P1 0.000 0.000 0.500
Cr1 0.000 0.000 0.000
Br1 0.500 0.500 0.500

---

# 8
First-principles (PBE) data for crystalline CrPSeBr2 at its relaxed geometry, as listed in Alexandria via LeMat-Bulk.

Output
M_tot (μB per atom): 0.950
Space group: P4/mmm
Energy relative to the elements, uncorrected (kJ/mol of atoms): 43

Cell: 5.016 5.016 5.077 Å, 90.00 90.00 90.00°
Site moments in Bohr magnetons follow the coordinates.
Element x y z (fractional)
P1 0.000 0.000 0.000  0.08
Cr1 0.500 0.500 0.500  4.23
Se1 0.000 0.000 0.500  -0.12
Br1 0.500 0.000 0.000  0.00
Br2 0.000 0.500 0.000  0.00